! GGA-PBE Ac7Tl2In2, relaxed; values from VASP
! **Calculated formation energy**: -0.08 eV/atom
! **Raw total energy**: -39.81 eV/f.u.
! **Crystal system**: monoclinic
&SYSTEM
  ibrav = 0, nat = 11, ntyp = 3
/
ATOMIC_SPECIES
Ac 227.00 Ac.upf
Tl 204.38 Tl.upf
In 114.82 In.upf
CELL_PARAMETERS angstrom
-5.252 1.484 5.136
-1.031 -8.404 1.343
6.755 -0.331 3.229
ATOMIC_POSITIONS crystal
Ac 0.000 0.290 0.500
Ac 0.500 0.710 0.000
Ac 0.000 0.710 0.500
Ac 0.500 0.290 0.000
Ac 0.000 0.000 0.000
Ac 0.500 0.737 0.500
Ac 0.500 0.263 0.500
Tl 0.708 0.000 0.292
Tl 0.292 0.000 0.708
In 0.831 0.500 0.831
In 0.169 0.500 0.169



! GGA-PBE PaTi2Tl, relaxed; values from VASP
! **Calculated formation energy**: 0.09 eV/atom
! **Raw total energy**: -27.30 eV/f.u.
! **Relative energy among the computed polymorphs**: 12.1 meV per atom
! **Crystal system**: tetragonal
&SYSTEM
  ibrav = 0, nat = 4, ntyp = 3
/
ATOMIC_SPECIES
Tl 204.38 Tl.upf
Pa 231.04 Pa.upf
Ti 47.87 Ti.upf
CELL_PARAMETERS angstrom
3.480 0.000 0.000
0.000 3.480 0.000
0.000 0.000 6.688
ATOMIC_POSITIONS crystal
Tl 0.500 0.500 0.500
Pa 0.500 0.500 0.000
Ti 0.000 0.000 0.772
Ti 0.000 0.000 0.228



Q: The lowest raw total energy belongs to which entry?
A: Ac7Tl2In2